The following is a PBE-GGA calculation of a relaxed NaHgBiTe3 crystal, from Alexandria via LeMat-Bulk.

- E_form (uncorrected): -2.15 eV/f.u.
- Size of the total moment: 0.0 μB per cell

Cell lengths 8.929, 4.506, 10.456 Å; angles 90.00, 101.36, 90.00 degrees
Fractional coordinates of all 12 atoms:
1 Na 0.191 0.250 0.249
2 Na 0.809 0.750 0.751
3 Hg 0.093 0.250 0.604
4 Hg 0.907 0.750 0.396
5 Bi 0.331 0.750 0.862
6 Bi 0.669 0.250 0.138
7 Te 0.085 0.250 0.875
8 Te 0.255 0.750 0.522
9 Te 0.421 0.750 0.155
10 Te 0.579 0.250 0.845
11 Te 0.745 0.250 0.478
12 Te 0.915 0.750 0.125

The following is a PBE-GGA calculation of a relaxed NaTiHgBi2 crystal, from Alexandria via LeMat-Bulk.

- Size of the total moment: 0.1 μB per cell
- DOS at the Fermi energy: 3.97 states/eV/cell
- ΔH_f (0 K): -0.1 eV per formula unit

Cell lengths 5.406, 5.406, 5.528 Å; angles 90.00, 90.00, 90.00 degrees
Fractional coordinates of all 5 atoms:
1 Na 0.000 0.000 0.000
2 Ti 0.500 0.500 0.500
3 Hg 0.500 0.500 0.000
4 Bi 0.000 0.500 0.500
5 Bi 0.500 0.000 0.500

The following is a PBE-GGA calculation of a relaxed NaTlHgBi crystal, from Alexandria via LeMat-Bulk.

- Size of the total moment: 0.0 μB per cell
- Energy relative to the lowest polymorph listed for this composition: 3 kJ/mol of formula units
- DOS at the Fermi energy: 16.86 states/eV/cell
- ΔH_f (0 K): -0.5 eV per formula unit

Cell lengths 7.732, 7.732, 7.732 Å; angles 90.00, 90.00, 90.00 degrees
Fractional coordinates of all 16 atoms:
1 Na 0.000 0.000 0.000
2 Na 0.000 0.500 0.500
3 Na 0.500 0.000 0.500
4 Na 0.500 0.500 0.000
5 Tl 0.250 0.250 0.750
6 Tl 0.250 0.750 0.250
7 Tl 0.750 0.250 0.250
8 Tl 0.750 0.750 0.750
9 Hg 0.250 0.250 0.250
10 Hg 0.250 0.750 0.750
11 Hg 0.750 0.250 0.750
12 Hg 0.750 0.750 0.250
13 Bi 0.000 0.000 0.500
14 Bi 0.000 0.500 0.000
15 Bi 0.500 0.000 0.000
16 Bi 0.500 0.500 0.500

The following is a PBE-GGA calculation of a relaxed NaTl2Hg2Bi crystal, from Alexandria via LeMat-Bulk.

- Size of the total moment: 0.0 μB per cell
- DOS at the Fermi energy: 3.57 states/eV/cell
- ΔH_f (0 K): -0.5 eV per formula unit

Cell lengths 4.860, 9.521, 7.817 Å; angles 90.00, 90.00, 90.00 degrees
Fractional coordinates of all 12 atoms:
1 Na 0.000 0.060 0.000
2 Na 0.000 0.940 0.500
3 Tl 0.000 0.312 0.397
4 Tl 0.000 0.688 0.897
5 Tl 0.500 0.428 0.072
6 Tl 0.500 0.572 0.572
7 Hg 0.000 0.369 0.808
8 Hg 0.000 0.631 0.308
9 Hg 0.500 0.129 0.275
10 Hg 0.500 0.871 0.775
11 Bi 0.500 0.184 0.694
12 Bi 0.500 0.816 0.194

The following is a PBE-GGA calculation of a relaxed NaTlHgBi2 crystal, from Alexandria via LeMat-Bulk.

- Size of the total moment: 0.0 μB per cell
- DOS at the Fermi energy: 6.55 states/eV/cell
- ΔH_f (0 K): 1.9 eV per formula unit

Cell lengths 5.862, 5.862, 6.099 Å; angles 90.00, 90.00, 90.00 degrees
Fractional coordinates of all 5 atoms:
1 Na 0.000 0.000 0.000
2 Tl 0.000 0.000 0.500
3 Hg 0.500 0.500 0.000
4 Bi 0.000 0.500 0.500
5 Bi 0.500 0.000 0.500

The following is a PBE-GGA calculation of a relaxed NaTl3HgBi crystal, from Alexandria via LeMat-Bulk.

- Size of the total moment: 0.0 μB per cell
- DOS at the Fermi energy: 4.56 states/eV/cell
- ΔH_f (0 K): -0.5 eV per formula unit

Cell lengths 8.572, 3.565, 12.061 Å; angles 90.00, 97.19, 90.00 degrees
Fractional coordinates of all 12 atoms:
1 Na 0.017 0.250 0.158
2 Na 0.983 0.750 0.842
3 Tl 0.315 0.250 0.940
4 Tl 0.323 0.750 0.688
5 Tl 0.326 0.250 0.435
6 Tl 0.674 0.750 0.565
7 Tl 0.677 0.250 0.312
8 Tl 0.685 0.750 0.060
9 Hg 0.003 0.750 0.384
10 Hg 0.997 0.250 0.616
11 Bi 0.351 0.750 0.182
12 Bi 0.649 0.250 0.818

The following is a PBE-GGA calculation of a relaxed Na4Tl2HgBi2 crystal, from Alexandria via LeMat-Bulk.

- Size of the total moment: 0.0 μB per cell
- DOS at the Fermi energy: 2.42 states/eV/cell
- ΔH_f (0 K): -1.7 eV per formula unit

Cell lengths 6.076, 6.456, 8.205 Å; angles 92.51, 99.51, 114.26 degrees
Fractional coordinates of all 9 atoms:
1 Na 0.159 0.312 0.127
2 Na 0.284 0.080 0.631
3 Na 0.716 0.920 0.369
4 Na 0.841 0.688 0.873
5 Tl 0.320 0.593 0.590
6 Tl 0.680 0.407 0.410
7 Hg 0.500 0.000 0.000
8 Bi 0.135 0.790 0.258
9 Bi 0.865 0.210 0.742

The following is a PBE-GGA calculation of a relaxed NaTl2HgBi crystal, from Alexandria via LeMat-Bulk.

- Size of the total moment: 0.0 μB per cell
- DOS at the Fermi energy: 4.40 states/eV/cell
- ΔH_f (0 K): -0.3 eV per formula unit

Cell lengths 8.315, 8.315, 6.641 Å; angles 90.00, 90.00, 132.99 degrees
Fractional coordinates of all 10 atoms:
1 Na 0.243 0.757 0.750
2 Na 0.757 0.243 0.250
3 Tl 0.253 0.253 0.000
4 Tl 0.253 0.253 0.500
5 Tl 0.747 0.747 0.000
6 Tl 0.747 0.747 0.500
7 Hg 0.350 0.650 0.250
8 Hg 0.650 0.350 0.750
9 Bi 0.155 0.845 0.250
10 Bi 0.845 0.155 0.750

The following is a PBE-GGA calculation of a relaxed NaTlHg2Bi crystal, from Alexandria via LeMat-Bulk.

- Size of the total moment: 0.0 μB per cell
- DOS at the Fermi energy: 4.06 states/eV/cell
- ΔH_f (0 K): -0.2 eV per formula unit

Cell lengths 9.313, 9.313, 5.921 Å; angles 90.00, 90.00, 142.88 degrees
Fractional coordinates of all 10 atoms:
1 Na 0.149 0.851 0.750
2 Na 0.851 0.149 0.250
3 Tl 0.347 0.653 0.750
4 Tl 0.653 0.347 0.250
5 Hg 0.250 0.250 0.000
6 Hg 0.250 0.250 0.500
7 Hg 0.750 0.750 0.000
8 Hg 0.750 0.750 0.500
9 Bi 0.251 0.749 0.250
10 Bi 0.749 0.251 0.750

The following is a PBE-GGA calculation of a relaxed NaTlHgBi crystal, from Alexandria via LeMat-Bulk.

- Size of the total moment: 0.0 μB per cell
- Energy relative to the lowest polymorph listed for this composition: 0 kJ/mol of formula units
- DOS at the Fermi energy: 1.17 states/eV/cell
- ΔH_f (0 K): -0.5 eV per formula unit

Cell lengths 3.594, 4.796, 6.731 Å; angles 90.00, 90.61, 90.00 degrees
Fractional coordinates of all 4 atoms:
1 Na 0.000 0.000 0.000
2 Tl 0.997 0.000 0.509
3 Hg 0.498 0.500 0.755
4 Bi 0.501 0.500 0.249

The following is a PBE-GGA calculation of a relaxed NaTl2Hg2Bi2 crystal, from Alexandria via LeMat-Bulk.

- Size of the total moment: 0.0 μB per cell
- DOS at the Fermi energy: 1.90 states/eV/cell
- ΔH_f (0 K): -0.6 eV per formula unit

Cell lengths 8.589, 8.589, 8.589 Å; angles 36.77, 36.77, 36.77 degrees
Fractional coordinates of all 7 atoms:
1 Na 0.000 0.000 0.000
2 Tl 0.144 0.144 0.144
3 Tl 0.856 0.856 0.856
4 Hg 0.288 0.288 0.288
5 Hg 0.712 0.712 0.712
6 Bi 0.422 0.422 0.422
7 Bi 0.578 0.578 0.578

The following is a PBE-GGA calculation of a relaxed NaTmHgBi crystal, from Alexandria via LeMat-Bulk.

- Size of the total moment: 0.0 μB per cell
- DOS at the Fermi energy: 14.44 states/eV/cell
- ΔH_f (0 K): -1.5 eV per formula unit

Cell lengths 7.550, 7.550, 7.550 Å; angles 90.00, 90.00, 90.00 degrees
Fractional coordinates of all 16 atoms:
1 Na 0.000 0.000 0.000
2 Na 0.000 0.500 0.500
3 Na 0.500 0.000 0.500
4 Na 0.500 0.500 0.000
5 Tm 0.000 0.000 0.500
6 Tm 0.000 0.500 0.000
7 Tm 0.500 0.000 0.000
8 Tm 0.500 0.500 0.500
9 Hg 0.250 0.250 0.750
10 Hg 0.250 0.750 0.250
11 Hg 0.750 0.250 0.250
12 Hg 0.750 0.750 0.750
13 Bi 0.250 0.250 0.250
14 Bi 0.250 0.750 0.750
15 Bi 0.750 0.250 0.750
16 Bi 0.750 0.750 0.250